No. 1
Here is La2Er2Th3 after structural relaxation from Alexandria via LeMat-Bulk. Energies are from GGA-PBE.

Structure (POSCAR):
```
La2Er2Th3
1.0
-1.644 1.952 -2.473
0.615 -2.547 -2.419
-15.240 -8.989 5.587
Th Er La
3 2 2
direct
0.568 0.500 0.136
0.000 0.000 0.000
0.432 0.500 0.864
0.865 0.000 0.730
0.135 0.000 0.270
0.292 0.500 0.584
0.708 0.500 0.416
```

Output
The calculation puts the energy relative to the elements at 71 meV/atom. The electronic total energy comes out at -5.820 eV per atom. For the total moment, the calculation gives 0.00 μB per formula unit. The calculation puts the density of states at the Fermi level at 12.4 states/eV per cell.


No. 2
Here is LaEr10Th4 after structural relaxation from Alexandria via LeMat-Bulk. Energies are from GGA-PBE.

Structure (POSCAR):
```
LaEr10Th4
1.0
6.877 -5.274 -0.206
3.444 7.748 -1.806
-4.131 -0.153 7.620
Er La Th
10 1 4
direct
0.250 0.750 0.500
0.443 0.773 0.905
0.227 0.132 0.670
0.462 0.557 0.330
0.132 0.462 0.905
0.750 0.250 0.500
0.538 0.443 0.670
0.868 0.538 0.095
0.773 0.868 0.330
0.557 0.227 0.095
0.000 0.000 0.000
0.066 0.338 0.404
0.662 0.066 0.728
0.338 0.934 0.272
0.934 0.662 0.596
```

Output
The calculation puts the energy relative to the elements at 367 meV/atom. The electronic total energy comes out at -4.982 eV per atom. For the total moment, the calculation gives 0.00 μB per formula unit. The calculation puts the density of states at the Fermi level at 23.9 states/eV per cell.


No. 3
Here is La2ErTh after structural relaxation from Alexandria via LeMat-Bulk. Energies are from GGA-PBE.

Structure (POSCAR):
```
La2ErTh
1.0
-2.204 -1.298 2.549
3.045 -0.579 7.421
-2.841 8.753 7.086
Er La Th
2 4 2
direct
0.135 0.635 0.731
0.865 0.365 0.269
0.271 0.728 0.000
0.630 0.130 0.740
0.729 0.272 0.000
0.370 0.870 0.260
0.500 0.000 0.500
0.000 0.500 0.500
```

Output
The calculation puts the energy relative to the elements at 23 meV/atom. As for the energy above the lowest structure with this stoichiometry: 0 meV/atom. The electronic total energy comes out at -5.436 eV per atom. For the total moment, the calculation gives 0.00 μB per formula unit. The calculation puts the density of states at the Fermi level at 11.1 states/eV per cell.


No. 4
Here is La6ErTh2 after structural relaxation from Alexandria via LeMat-Bulk. Energies are from GGA-PBE.

Structure (POSCAR):
```
La6ErTh2
1.0
1.820 -3.152 0.000
1.820 3.152 0.000
0.000 0.000 27.528
La Th Er
6 2 1
direct
0.000 0.000 0.563
0.333 0.667 0.105
0.000 0.000 0.437
0.000 0.000 0.777
0.333 0.667 0.895
0.000 0.000 0.223
0.333 0.667 0.330
0.333 0.667 0.670
0.000 0.000 0.000
```

Output
The calculation puts the energy relative to the elements at 61 meV/atom. The electronic total energy comes out at -5.380 eV per atom. For the total moment, the calculation gives 0.00 μB per formula unit. The calculation puts the density of states at the Fermi level at 15.7 states/eV per cell.


No. 5
Here is La2Er4Th3 after structural relaxation from Alexandria via LeMat-Bulk. Energies are from GGA-PBE.

Structure (POSCAR):
```
La2Er4Th3
1.0
1.782 -3.087 0.000
1.782 3.087 0.000
0.000 0.000 26.768
Er La Th
4 2 3
direct
0.333 0.667 0.541
0.000 0.000 0.222
0.333 0.667 0.756
0.000 0.000 0.437
0.000 0.000 0.094
0.000 0.000 0.870
0.333 0.667 0.982
0.333 0.667 0.327
0.000 0.000 0.649
```

Output
The calculation puts the energy relative to the elements at 77 meV/atom. The electronic total energy comes out at -5.519 eV per atom. For the total moment, the calculation gives 0.00 μB per formula unit. The calculation puts the density of states at the Fermi level at 18.1 states/eV per cell.


No. 6
Here is LaEr3Th3 after structural relaxation from Alexandria via LeMat-Bulk. Energies are from GGA-PBE.

Structure (POSCAR):
```
LaEr3Th3
1.0
-6.205 6.205 6.205
6.205 -6.205 6.205
6.205 6.205 -6.205
Th Er La
12 12 4
direct
0.681 0.259 0.681
0.422 0.741 0.422
0.259 0.681 0.681
0.000 0.319 0.578
0.422 0.422 0.741
0.000 0.578 0.319
0.319 0.578 0.000
0.741 0.422 0.422
0.578 0.000 0.319
0.681 0.681 0.259
0.578 0.319 0.000
0.319 0.000 0.578
0.000 0.615 0.808
0.808 0.000 0.615
0.385 0.193 0.385
0.000 0.808 0.615
0.193 0.385 0.385
0.615 0.808 0.000
0.807 0.192 0.192
0.808 0.615 0.000
0.385 0.385 0.193
0.192 0.192 0.807
0.192 0.807 0.192
0.615 0.000 0.808
0.000 0.000 0.376
0.624 0.624 0.624
0.000 0.376 0.000
0.376 0.000 0.000
```

Output
The calculation puts the energy relative to the elements at 245 meV/atom. The electronic total energy comes out at -5.594 eV per atom. For the total moment, the calculation gives 0.00 μB per formula unit. The calculation puts the density of states at the Fermi level at 45.7 states/eV per cell.


No. 7
Here is LaEr8Th2 after structural relaxation from Alexandria via LeMat-Bulk. Energies are from GGA-PBE.

Structure (POSCAR):
```
LaEr8Th2
1.0
5.471 -0.581 -0.406
0.864 9.787 2.574
0.864 5.785 8.303
Er Th La
8 2 1
direct
0.263 0.596 0.137
0.263 0.137 0.596
0.765 0.816 0.816
0.737 0.863 0.404
0.240 0.547 0.547
0.235 0.184 0.184
0.760 0.453 0.453
0.737 0.404 0.863
0.743 0.283 0.283
0.257 0.717 0.717
0.000 0.000 0.000
```

Output
The calculation puts the energy relative to the elements at 169 meV/atom. As for the energy above the lowest structure with this stoichiometry: 0 meV/atom. The electronic total energy comes out at -4.947 eV per atom. For the total moment, the calculation gives 0.00 μB per formula unit. The calculation puts the density of states at the Fermi level at 15.9 states/eV per cell.


No. 8
Here is LaEr12Th5 after structural relaxation from Alexandria via LeMat-Bulk. Energies are from GGA-PBE.

Structure (POSCAR):
```
LaEr12Th5
1.0
10.580 -0.003 -0.033
5.292 9.201 -0.520
0.018 -1.704 5.897
Er Th La
12 5 1
direct
0.832 0.667 0.500
0.168 0.333 0.500
0.499 0.333 0.500
0.501 0.667 0.500
0.832 0.000 0.500
0.998 0.337 0.000
0.335 0.663 0.000
0.002 0.663 0.000
0.662 0.000 0.000
0.338 0.000 0.000
0.168 0.000 0.500
0.665 0.337 0.000
0.333 0.333 0.000
0.169 0.663 0.492
0.500 0.000 0.500
0.831 0.337 0.508
0.667 0.667 0.000
0.000 0.000 0.000
```

Output
The calculation puts the energy relative to the elements at 43 meV/atom. The electronic total energy comes out at -5.334 eV per atom. For the total moment, the calculation gives 0.00 μB per formula unit. The calculation puts the density of states at the Fermi level at 26.4 states/eV per cell.